IrIO2F GGA-PBEsol relaxed; total DFT energy (no corrections) = -25.900 eV per cell; DOS at the Fermi energy = 0.852 states/eV/atom; ΔE_f (raw) = -377 meV per atom
1.0
3.719 0.000 0.000
0.000 3.719 0.000
0.000 0.000 5.884
Ir I O F
1 1 2 1
direct
0.000 0.000 0.000
0.000 0.000 0.500
0.000 0.500 0.000
0.500 0.000 0.000
0.500 0.500 0.500